No. 1
# Er2TeC (PBE, relaxed)
data_Er2TeC
_chemical_formula_sum 'Er6 Te3 C3'
_cell_length_a 3.7913
_cell_length_b 3.7913
_cell_length_c 20.8845
_cell_angle_alpha 90.00
_cell_angle_beta 90.00
_cell_angle_gamma 120.00
_space_group_name_H-M_alt 'R -3 m'
_space_group_IT_number 166
_space_group_name_Hall '-R 3 2"'
loop_
_atom_site_label
_atom_site_type_symbol
_atom_site_fract_x
_atom_site_fract_y
_atom_site_fract_z
Er1 Er 0.0000 0.0000 0.2284
Te1 Te 0.0000 0.0000 0.0000
C1 C 0.0000 0.0000 0.5000
# Formation energy without anion corrections = -0.88 eV per atom
# ρ = 9.085 g cm⁻³

---

No. 2
# TbCeSc5 (PBE, relaxed)
data_TbCeSc5
_chemical_formula_sum 'Tb4 Ce4 Sc20'
_cell_length_a 10.639
_cell_length_b 11.780
_cell_length_c 6.424
_cell_angle_alpha 90.00
_cell_angle_beta 108.77
_cell_angle_gamma 90.00
_space_group_name_H-M_alt 'C 1 2/c 1'
_space_group_IT_number 15
loop_
_space_group_symop_operation_xyz
'x,y,z'
'-x,-y,-z'
'-x,y,-z+1/2'
'x,-y,z+1/2'
'x+1/2,y+1/2,z'
'-x+1/2,-y+1/2,-z'
'-x+1/2,y+1/2,-z+1/2'
'x+1/2,-y+1/2,z+1/2'
loop_
_atom_site_label
_atom_site_type_symbol
_atom_site_fract_x
_atom_site_fract_y
_atom_site_fract_z
Tb1 Tb 0.000 0.151 0.250
Ce1 Ce 0.250 0.250 0.000
Sc1 Sc 0.000 0.112 0.750
Sc2 Sc 0.033 0.372 0.533
Sc3 Sc 0.248 0.470 0.360
# ρ = 4.564 g cm⁻³
# DFT formation energy = 209 meV/atom

---

No. 3
# Ba9Na3Ir2 (PBE, relaxed)
data_Ba9Na3Ir2
_chemical_formula_sum 'Ba18 Na6 Ir4'
_cell_length_a 8.8311
_cell_length_b 8.8311
_cell_length_c 21.8154
_cell_angle_alpha 90.00
_cell_angle_beta 90.00
_cell_angle_gamma 120.00
_space_group_name_H-M_alt 'P 63/m m c'
_space_group_IT_number 194
_space_group_name_Hall '-P 6c 2c'
loop_
_atom_site_label
_atom_site_type_symbol
_atom_site_fract_x
_atom_site_fract_y
_atom_site_fract_z
Ba1 Ba 0.0116 0.5058 0.2500
Ba2 Ba 0.1726 0.3452 0.0851
Na1 Na 0.0000 0.0000 0.2500
Na2 Na 0.3333 0.6667 0.5813
Ir1 Ir 0.3333 0.6667 0.1619
# ρ = 3.808 g cm⁻³
# DFT formation energy = -120 meV/atom